No. 1
## PmNdHoIn (PBE)

Data for a relaxed PmNdHoIn crystal.

Properties
calculated formation energy	-0.233	eV per atom
offset from the most stable computed form	0.00	eV per formula unit
electronic total energy	-4.442	eV/atom

a b c (Å): 4.858 4.858 6.109
angles (deg): 113.43 113.43 90.00
Sites, in units of the cell vectors:
Pm (0.500, 0.500, 0.000)
Nd (0.750, 0.250, 0.500)
Ho (0.000, 0.000, 0.000)
In (0.250, 0.750, 0.500)



No. 2
## K2SiO3 (PBE)

Data for a relaxed K2SiO3 crystal.

Properties
electronic total energy	-6.053	eV/atom

a b c (Å): 5.857 6.296 6.961
angles (deg): 72.12 65.12 62.28
Sites, in units of the cell vectors:
K (0.184, 0.419, 0.212)
K (0.816, 0.581, 0.788)
K (0.438, 0.784, 0.339)
K (0.562, 0.216, 0.661)
Si (0.880, 0.057, 0.183)
Si (0.120, 0.943, 0.817)
O (0.207, 0.000, 0.000)
O (0.793, 0.000, 0.000)
O (0.120, 0.148, 0.611)
O (0.880, 0.852, 0.389)
O (0.279, 0.663, 0.779)
O (0.721, 0.337, 0.221)



No. 3
## YZrV2N (PBE)

Data for a relaxed YZrV2N crystal.

Properties
electronic total energy	-8.558	eV/atom

a b c (Å): 4.085 4.085 4.819
angles (deg): 90.00 90.00 90.00
Each line ends with the local moment (μB).
Sites, in units of the cell vectors:
Y (0.000, 0.000, 0.500)  0.01
N (0.000, 0.000, 0.000)  -0.02
Zr (0.500, 0.500, 0.500)  -0.02
V (0.000, 0.500, 0.000)  0.28
V (0.500, 0.000, 0.000)  0.28



No. 4
## Tl2VBr4Cl2 (PBE)

Data for a relaxed Tl2VBr4Cl2 crystal.

Properties
electronic total energy	-3.590	eV/atom

a b c (Å): 6.345 7.062 7.062
angles (deg): 63.53 83.27 83.27
Each line ends with the local moment (μB).
Sites, in units of the cell vectors:
Tl (0.274, 0.664, 0.664)  0.00
Tl (0.726, 0.336, 0.336)  0.00
V (0.500, 0.000, 0.000)  1.08
Br (0.307, 0.664, 0.146)  -0.02
Br (0.693, 0.854, 0.336)  -0.02
Br (0.693, 0.336, 0.854)  -0.02
Br (0.307, 0.146, 0.664)  -0.02
Cl (0.233, 0.146, 0.146)  -0.04
Cl (0.767, 0.854, 0.854)  -0.04